Entry 1:
# CaTaBeN3

An optimized crystal structure of CaTaBeN3 (PBE, Alexandria via LeMat-Bulk).

Calculated values
* formation energy (no corrections): -1159 meV per atom
* E: -8.2521 eV/atom
* spin magnetization: 0.00 μB/f.u.

Cell lengths 6.764, 3.121, 6.875 Å; angles 90.00, 105.03, 90.00 degrees
Fractional positions:
Ca 0.192 0.250 0.224
Ca 0.808 0.750 0.776
Ta 0.332 0.750 0.831
Ta 0.668 0.250 0.169
Be 0.078 0.250 0.598
Be 0.922 0.750 0.402
N 0.131 0.250 0.855
N 0.175 0.750 0.530
N 0.452 0.750 0.160
N 0.548 0.250 0.840
N 0.825 0.250 0.470
N 0.869 0.750 0.145

Entry 2:
# Ca4Ta3BeN8

An optimized crystal structure of Ca4Ta3BeN8 (PBE, Alexandria via LeMat-Bulk).

Calculated values
* formation energy (no corrections): -1082 meV per atom
* E: -8.2000 eV/atom
* D(E_F): 2.47 states/eV/f.u.
* spin magnetization: 0.00 μB/f.u.

Cell lengths 6.613, 6.613, 6.613 Å; angles 57.30, 57.30, 57.30 degrees
Fractional positions:
Ca 0.000 0.000 0.000
Ca 0.000 0.500 0.500
Ca 0.500 0.000 0.500
Ca 0.500 0.500 0.000
Ta 0.000 0.000 0.500
Ta 0.000 0.500 0.000
Ta 0.500 0.000 0.000
Be 0.500 0.500 0.500
N 0.229 0.739 0.739
N 0.238 0.238 0.238
N 0.261 0.261 0.771
N 0.261 0.771 0.261
N 0.739 0.229 0.739
N 0.739 0.739 0.229
N 0.762 0.762 0.762
N 0.771 0.261 0.261

Entry 3:
# Ca2BeTcN4

An optimized crystal structure of Ca2BeTcN4 (PBE, Alexandria via LeMat-Bulk).

Calculated values
* formation energy (no corrections): -652 meV per atom
* E: -7.0766 eV/atom
* D(E_F): 2.07 states/eV/f.u.
* spin magnetization: 0.00 μB/f.u.

Cell lengths 5.538, 6.554, 5.770 Å; angles 90.00, 90.00, 90.00 degrees
Fractional positions:
Ca 0.250 0.000 0.234
Ca 0.250 0.500 0.234
Ca 0.750 0.000 0.766
Ca 0.750 0.500 0.766
Be 0.250 0.250 0.809
Be 0.750 0.750 0.191
Tc 0.250 0.750 0.792
Tc 0.750 0.250 0.208
N 0.010 0.250 0.999
N 0.250 0.003 0.647
N 0.250 0.497 0.647
N 0.490 0.250 0.999
N 0.510 0.750 0.001
N 0.750 0.503 0.353
N 0.750 0.997 0.353
N 0.990 0.750 0.001